Record 1
BaV2Zn | GGA-PBE | optimized geometry

Values from the calculation:
- DFT total energy (eV/atom) = -4.478
- spin magnetization (Bohr magnetons per cell) = 0.00
- Fermi-level density of states (states/eV per cell) = 24.569
- V (A^3/atom) = 25.0

Cell lengths 4.4854, 4.4854, 19.8880 Å; angles 90.00, 90.00, 90.00 degrees
Closest atoms and distances in Å follow each position.
Space group I-42d (No. 122)
Symmetry-distinct sites (fractional):
1 Ba 0.0000 0.0000 0.0000 (multiplicity 4)  4 Zn 3.17, 4 V 3.48
2 V 0.0165 0.7500 0.6250 (multiplicity 8)  2 V 2.25
3 Zn 0.0000 0.0000 0.5000 (multiplicity 4)  4 V 2.73



Record 2
Na3PdPb | GGA-PBE | optimized geometry

Values from the calculation:
- DFT total energy (eV/atom) = -2.702
- excess energy over the best structure of this formula in the dataset (eV/atom) = 0.0000
- spin magnetization (Bohr magnetons per cell) = 0.00
- Fermi-level density of states (states/eV per cell) = 8.162
- V (A^3/atom) = 25.6

Cell lengths 11.3789, 4.1491, 10.8801 Å; angles 90.00, 94.81, 90.00 degrees
Closest atoms and distances in Å follow each position.
Space group C2/m (No. 12)
Symmetry-distinct sites (fractional):
1 Na 0.1244 0.0000 0.0327 (multiplicity 4)  1 Na 2.86
2 Na 0.1380 0.5000 0.5557 (multiplicity 4)  1 Pd 3.21, 5 Na 3.23-3.58, 5 Pb 3.33-3.58
3 Na 0.2343 0.0000 0.7687 (multiplicity 4)  3 Pd 3.17-3.40, 5 Na 3.23-3.31, 3 Pb 3.35-3.41
4 Pd 0.0334 0.5000 0.8210 (multiplicity 4)  2 Pb 2.76
5 Pb 0.0592 0.0000 0.3236 (multiplicity 4)  2 Pd 2.76



Record 3
NaAc2Bi | GGA-PBE | optimized geometry

Values from the calculation:
- DFT total energy (eV/atom) = -3.623
- excess energy over the best structure of this formula in the dataset (eV/atom) = 0.0809
- spin magnetization (Bohr magnetons per cell) = 2.31
- Fermi-level density of states (states/eV per cell) = 21.197
- V (A^3/atom) = 37.0

Cell lengths 8.3930, 8.3930, 8.3930 Å; angles 90.00, 90.00, 90.00 degrees
Closest atoms and distances in Å follow each position.
Space group Fm-3m (No. 225)
Symmetry-distinct sites (fractional):
1 Na 0.0000 0.0000 0.0000 (multiplicity 4)  8 Ac 3.63
2 Ac 0.2500 0.2500 0.2500 (multiplicity 8)  4 Bi 3.63, 4 Na 3.63
3 Bi 0.0000 0.0000 0.5000 (multiplicity 4)  8 Ac 3.63



Record 4
SrSiPt2 | GGA-PBE | optimized geometry

Values from the calculation:
- DFT total energy (eV/atom) = -5.587
- spin magnetization (Bohr magnetons per cell) = 0.00
- Fermi-level density of states (states/eV per cell) = 1.815
- V (A^3/atom) = 23.7

Cell lengths 4.3929, 4.4751, 4.8268 Å; angles 90.00, 90.00, 90.00 degrees
Closest atoms and distances in Å follow each position.
Space group Pmm2 (No. 25)
Symmetry-distinct sites (fractional):
1 Sr 0.0000 0.0000 0.0000 (multiplicity 1)  8 Pt 3.21-3.32, 4 Si 3.53
2 Si 0.5000 0.5000 0.3345 (multiplicity 1)  4 Pt 2.31-2.52
3 Pt 0.0000 0.5000 0.5087 (multiplicity 1)  2 Si 2.35
4 Pt 0.5000 0.5000 0.8565 (multiplicity 1)  2 Si 2.31-2.52



Record 5
Ce2SmTmN4 | GGA-PBE | optimized geometry

Values from the calculation:
- DFT total energy (eV/atom) = -8.357
- spin magnetization (Bohr magnetons per cell) = 0.50
- Fermi-level density of states (states/eV per cell) = 4.478
- V (A^3/atom) = 15.6

Cell lengths 6.1133, 3.5307, 6.1239 Å; angles 90.00, 109.45, 90.00 degrees
Closest atoms and distances in Å follow each position.
Space group P2/m (No. 10)
Symmetry-distinct sites (fractional):
1 Ce 0.0000 0.0000 0.0000 (multiplicity 1)  6 N 2.47
2 Ce 0.0000 0.5000 0.5000 (multiplicity 1)  6 N 2.52-2.53
3 Sm 0.5000 0.0000 0.5000 (multiplicity 1)  6 N 2.53
4 Tm 0.5000 0.5000 0.0000 (multiplicity 1)  6 N 2.47
5 N 0.2466 0.5000 0.2411 (multiplicity 2)  3 Ce 2.47-2.53, 1 Tm 2.47, 2 Sm 2.53
6 N 0.2524 0.0000 0.7582 (multiplicity 2)  3 Ce 2.47-2.52, 2 Tm 2.47, 1 Sm 2.53



Record 6
Mn4Ir | GGA-PBE | optimized geometry

Values from the calculation:
- DFT total energy (eV/atom) = -9.106
- spin magnetization (Bohr magnetons per cell) = 3.27
- Fermi-level density of states (states/eV per cell) = 15.350
- V (A^3/atom) = 11.6

Cell lengths 5.6973, 5.6973, 3.5844 Å; angles 90.00, 90.00, 90.00 degrees
Closest atoms and distances in Å follow each position.
Space group I4/m (No. 87)
Symmetry-distinct sites (fractional):
1 Mn 0.0975 0.3069 0.0000 (multiplicity 8)  9 Mn 2.46-2.59, 3 Ir 2.54-2.56
2 Ir 0.0000 0.0000 0.5000 (multiplicity 2)  12 Mn 2.54-2.56



Record 7
AlIr2Cl | GGA-PBE | optimized geometry

Values from the calculation:
- DFT total energy (eV/atom) = -5.415
- excess energy over the best structure of this formula in the dataset (eV/atom) = 0.4643
- spin magnetization (Bohr magnetons per cell) = 0.00
- Fermi-level density of states (states/eV per cell) = 13.580
- V (A^3/atom) = 16.5

Cell lengths 4.0189, 4.0189, 16.3720 Å; angles 90.00, 90.00, 90.00 degrees
Closest atoms and distances in Å follow each position.
Space group I-42d (No. 122)
Symmetry-distinct sites (fractional):
1 Al 0.0000 0.0000 0.0000 (multiplicity 4)  4 Ir 2.50
2 Ir 0.2439 0.2500 0.6250 (multiplicity 8)  2 Cl 2.48, 2 Al 2.50
3 Cl 0.0000 0.0000 0.5000 (multiplicity 4)  4 Ir 2.48



Record 8
AcP2Os | GGA-PBE | optimized geometry

Values from the calculation:
- DFT total energy (eV/atom) = -6.660
- spin magnetization (Bohr magnetons per cell) = 0.00
- Fermi-level density of states (states/eV per cell) = 10.125
- V (A^3/atom) = 20.7

Cell lengths 5.2148, 5.2148, 10.5297 Å; angles 90.00, 90.00, 120.00 degrees
Closest atoms and distances in Å follow each position.
Space group R-3m (No. 166, hexagonal axes)
Symmetry-distinct sites (fractional):
1 Ac 0.0000 0.0000 0.0000 (multiplicity 3)  8 P 2.93-3.07
2 P 0.0000 0.0000 0.2785 (multiplicity 6)  1 Os 2.33
3 Os 0.0000 0.0000 0.5000 (multiplicity 3)  2 P 2.33



Record 9
LaSmHo2 | GGA-PBE | optimized geometry

Values from the calculation:
- DFT total energy (eV/atom) = -4.685
- excess energy over the best structure of this formula in the dataset (eV/atom) = 0.0000
- spin magnetization (Bohr magnetons per cell) = 0.00
- Fermi-level density of states (states/eV per cell) = 14.327
- V (A^3/atom) = 33.0

Cell lengths 3.6145, 3.6145, 34.9794 Å; angles 90.00, 90.00, 120.00 degrees
Closest atoms and distances in Å follow each position.
Space group R-3m (No. 166, hexagonal axes)
Symmetry-distinct sites (fractional):
1 La 0.0000 0.0000 0.0000 (multiplicity 3)  6 La 3.61, 6 Ho 3.62
2 Sm 0.0000 0.0000 0.5000 (multiplicity 3)  6 Ho 3.55, 6 Sm 3.61
3 Ho 0.0000 0.0000 0.2489 (multiplicity 6)  3 Sm 3.55, 6 Ho 3.61, 3 La 3.62



Record 10
Hf2Al2S | GGA-PBE | optimized geometry

Values from the calculation:
- DFT total energy (eV/atom) = -6.573
- excess energy over the best structure of this formula in the dataset (eV/atom) = 0.2895
- spin magnetization (Bohr magnetons per cell) = 0.00
- Fermi-level density of states (states/eV per cell) = 4.206
- V (A^3/atom) = 18.7

Cell lengths 3.5061, 3.5061, 15.2190 Å; angles 90.00, 90.00, 90.00 degrees
Closest atoms and distances in Å follow each position.
Space group I4/mmm (No. 139)
Symmetry-distinct sites (fractional):
1 Hf 0.0000 0.0000 0.0991 (multiplicity 4)  4 Al 2.89, 4 S 2.90, 1 Hf 3.02
2 Al 0.0000 0.5000 0.2500 (multiplicity 4)  4 Al 2.48
3 S 0.0000 0.0000 0.5000 (multiplicity 2)  8 Hf 2.90



Record 11
Sr2MnCl | GGA-PBE | optimized geometry

Values from the calculation:
- DFT total energy (eV/atom) = -3.974
- excess energy over the best structure of this formula in the dataset (eV/atom) = 0.1168
- spin magnetization (Bohr magnetons per cell) = 7.53
- Fermi-level density of states (states/eV per cell) = 6.693
- V (A^3/atom) = 33.2

Cell lengths 13.3515, 4.0691, 4.8875 Å; angles 90.00, 90.12, 90.00 degrees
Closest atoms and distances in Å follow each position.
Space group Cm (No. 8)
Symmetry-distinct sites (fractional):
1 Sr 0.0000 0.0000 0.0000 (multiplicity 2)  1 Cl 3.02, 4 Mn 3.23
2 Sr 0.2236 0.5000 0.5017 (multiplicity 2)  4 Cl 3.18, 1 Mn 3.55
3 Mn 0.4574 0.0000 0.4997 (multiplicity 2)  5 Sr 3.23-3.55
4 Cl 0.2264 0.0000 0.0021 (multiplicity 2)  5 Sr 3.02-3.18



Record 12
PuNb6Se8 | GGA-PBE | optimized geometry

Values from the calculation:
- DFT total energy (eV/atom) = -7.650
- spin magnetization (Bohr magnetons per cell) = 17.36
- Fermi-level density of states (states/eV per cell) = 63.231
- V (A^3/atom) = 21.8

Cell lengths 9.5117, 9.5117, 12.5475 Å; angles 90.00, 90.00, 120.00 degrees
Closest atoms and distances in Å follow each position.
Space group R-3 (No. 148, hexagonal axes)
Symmetry-distinct sites (fractional):
1 Pu 0.0000 0.0000 0.0000 (multiplicity 3)  8 Se 2.92-3.18
2 Nb 0.0226 0.8392 0.3925 (multiplicity 18)  5 Se 2.59-2.70, 2 Nb 2.85
3 Se 0.0000 0.0000 0.2330 (multiplicity 6)  3 Nb 2.59
4 Se 0.0067 0.3732 0.7598 (multiplicity 18)  4 Nb 2.68-2.70